[1]
Y2Hg2Cl after structural relaxation. Source: Alexandria, functional PBE.

Values from the calculation:
Energy above the most stable polymorph in this dataset, meV per atom: 0
Total magnetization, μB/atom: 0.000
Formation energy without anion corrections, meV/atom: -814

abc: 7.398 7.398 4.854
angles: 90.00 90.00 90.00
Sites, in units of the cell vectors:
1 Y 0.165 0.335 0.000
2 Y 0.335 0.835 0.000
3 Y 0.665 0.165 0.000
4 Y 0.835 0.665 0.000
5 Hg 0.142 0.642 0.500
6 Hg 0.358 0.142 0.500
7 Hg 0.642 0.858 0.500
8 Hg 0.858 0.358 0.500
9 Cl 0.000 0.000 0.000
10 Cl 0.500 0.500 0.000

=====

[2]
YHgCl2 after structural relaxation. Source: Alexandria, functional PBE.

Values from the calculation:
Energy above the most stable polymorph in this dataset, meV per atom: 91
Total magnetization, μB/atom: 0.000
Formation energy without anion corrections, meV/atom: -1332

abc: 3.827 3.917 10.284
angles: 90.00 90.57 90.00
Sites, in units of the cell vectors:
1 Y 0.000 0.000 0.000
2 Hg 0.500 0.000 0.500
3 Cl 0.003 0.500 0.173
4 Cl 0.997 0.500 0.827

=====

[3]
YHgCl2 after structural relaxation. Source: Alexandria, functional PBE.

Values from the calculation:
Energy above the most stable polymorph in this dataset, meV per atom: 119
Total magnetization, μB/atom: 0.002
Formation energy without anion corrections, meV/atom: -1304

abc: 3.944 3.944 11.302
angles: 90.00 90.00 123.00
Sites, in units of the cell vectors:
1 Y 0.000 0.000 0.000
2 Hg 0.000 0.000 0.500
3 Cl 0.500 0.500 0.167
4 Cl 0.500 0.500 0.833

=====

[4]
YHgCl5 after structural relaxation. Source: Alexandria, functional PBE.

Values from the calculation:
Total magnetization, μB/atom: 0.000
Formation energy without anion corrections, meV/atom: -1490

abc: 7.069 7.069 8.157
angles: 94.61 94.61 102.49
Sites, in units of the cell vectors:
1 Y 0.065 0.935 0.750
2 Y 0.935 0.065 0.250
3 Hg 0.500 0.500 0.000
4 Hg 0.500 0.500 0.500
5 Cl 0.039 0.793 0.051
6 Cl 0.203 0.426 0.315
7 Cl 0.207 0.961 0.449
8 Cl 0.313 0.687 0.750
9 Cl 0.426 0.203 0.815
10 Cl 0.574 0.797 0.185
11 Cl 0.687 0.313 0.250
12 Cl 0.793 0.039 0.551
13 Cl 0.797 0.574 0.685
14 Cl 0.961 0.207 0.949

=====

[5]
YHg2Cl2 after structural relaxation. Source: Alexandria, functional PBE.

Values from the calculation:
Energy above the most stable polymorph in this dataset, meV per atom: 0
Total magnetization, μB/atom: 0.077
Formation energy without anion corrections, meV/atom: -975

abc: 7.004 7.004 6.311
angles: 90.00 90.00 90.00
Sites, in units of the cell vectors:
1 Y 0.000 0.000 0.000
2 Y 0.500 0.500 0.000
3 Hg 0.194 0.306 0.500
4 Hg 0.306 0.806 0.500
5 Hg 0.694 0.194 0.500
6 Hg 0.806 0.694 0.500
7 Cl 0.163 0.663 0.000
8 Cl 0.337 0.163 0.000
9 Cl 0.663 0.837 0.000
10 Cl 0.837 0.337 0.000

=====

[6]
ZnHgCl2 after structural relaxation. Source: Alexandria, functional PBE.

Values from the calculation:
Energy above the most stable polymorph in this dataset, meV per atom: 843
Total magnetization, μB/atom: 0.000
Formation energy without anion corrections, meV/atom: 37

abc: 4.990 4.990 4.990
angles: 60.00 60.00 60.00
Sites, in units of the cell vectors:
1 Zn 0.000 0.000 0.000
2 Hg 0.750 0.750 0.750
3 Cl 0.250 0.250 0.250
4 Cl 0.500 0.500 0.500

=====

Please write out number 4 again, unchanged.
YHgCl5 after structural relaxation. Source: Alexandria, functional PBE.

Values from the calculation:
Total magnetization, μB/atom: 0.000
Formation energy without anion corrections, meV/atom: -1490

abc: 7.069 7.069 8.157
angles: 94.61 94.61 102.49
Sites, in units of the cell vectors:
1 Y 0.065 0.935 0.750
2 Y 0.935 0.065 0.250
3 Hg 0.500 0.500 0.000
4 Hg 0.500 0.500 0.500
5 Cl 0.039 0.793 0.051
6 Cl 0.203 0.426 0.315
7 Cl 0.207 0.961 0.449
8 Cl 0.313 0.687 0.750
9 Cl 0.426 0.203 0.815
10 Cl 0.574 0.797 0.185
11 Cl 0.687 0.313 0.250
12 Cl 0.793 0.039 0.551
13 Cl 0.797 0.574 0.685
14 Cl 0.961 0.207 0.949